# 1
Here is an optimized crystal structure of AlGa2CuW from Alexandria via LeMat-Bulk. Energies are from PBE.

Unit cell a=4.481 b=4.481 c=4.493 alpha=90.00 beta=90.00 gamma=90.00
Fractional positions:
Al 0.000 0.000 0.000
Ga 0.000 0.500 0.500
Ga 0.500 0.000 0.500
Cu 0.000 0.000 0.500
W 0.500 0.500 0.000

# 2
Here is an optimized crystal structure of SmPu2NpP4 from Alexandria via LeMat-Bulk. Energies are from PBE.

Unit cell a=6.957 b=6.957 c=6.957 alpha=131.81 beta=131.81 gamma=70.53
Fractional positions:
Sm 0.000 0.000 0.000
Pu 0.500 0.500 0.000
Pu 0.750 0.250 0.500
Np 0.250 0.750 0.500
P 0.002 0.502 0.500
P 0.255 0.255 0.000
P 0.498 0.998 0.500
P 0.745 0.745 0.000

# 3
Here is an optimized crystal structure of KCdSeO4 from Alexandria via LeMat-Bulk. Energies are from PBE.

Unit cell a=6.416 b=6.416 c=6.416 alpha=60.00 beta=60.00 gamma=60.00
Fractional positions:
K 0.000 0.000 0.000
Cd 0.750 0.750 0.750
Se 0.500 0.500 0.500
O 0.169 0.610 0.610
O 0.610 0.169 0.610
O 0.610 0.610 0.169
O 0.610 0.610 0.610

Output
**Raw formation energy**: -82.48 kJ/mol of atoms

# 4
Here is an optimized crystal structure of PaTe2P from Alexandria via LeMat-Bulk. Energies are from PBE.

Unit cell a=9.669 b=9.669 c=9.669 alpha=22.03 beta=22.03 gamma=22.03
Fractional positions:
Pa 0.000 0.000 0.000
Te 0.106 0.106 0.106
Te 0.894 0.894 0.894
P 0.500 0.500 0.500

Output
**Raw formation energy**: 37.23 kJ/mol of atoms

# 5
Here is an optimized crystal structure of CaGa8Co4 from Alexandria via LeMat-Bulk. Energies are from PBE.

Unit cell a=6.567 b=6.567 c=6.567 alpha=99.01 beta=99.01 gamma=133.38
Fractional positions:
Ca 0.000 0.000 0.000
Ga 0.000 0.337 0.337
Ga 0.000 0.663 0.663
Ga 0.272 0.500 0.772
Ga 0.337 0.000 0.337
Ga 0.500 0.272 0.772
Ga 0.500 0.728 0.228
Ga 0.663 0.000 0.663
Ga 0.728 0.500 0.228
Co 0.000 0.000 0.500
Co 0.000 0.500 0.000
Co 0.500 0.000 0.000
Co 0.500 0.500 0.500

# 6
Here is an optimized crystal structure of Sr3ZrHg from Alexandria via LeMat-Bulk. Energies are from PBE.

Unit cell a=6.100 b=6.100 c=6.100 alpha=90.00 beta=90.00 gamma=90.00
Fractional positions:
Sr 0.000 0.000 0.500
Sr 0.000 0.500 0.000
Sr 0.500 0.000 0.000
Zr 0.000 0.000 0.000
Hg 0.500 0.500 0.500

Output
**ΔE to the lowest computed polymorph**: 1.289 eV/f.u.

# 7
Here is an optimized crystal structure of PaSnRh4 from Alexandria via LeMat-Bulk. Energies are from PBE.

Unit cell a=5.297 b=5.297 c=5.297 alpha=60.00 beta=60.00 gamma=60.00
Fractional positions:
Pa 0.000 0.000 0.000
Sn 0.750 0.750 0.750
Rh 0.376 0.376 0.376
Rh 0.376 0.376 0.872
Rh 0.376 0.872 0.376
Rh 0.872 0.376 0.376

Output
**ΔE to the lowest computed polymorph**: 0.515 eV/f.u.

# 8
Here is an optimized crystal structure of NaAl4S7 from Alexandria via LeMat-Bulk. Energies are from PBE.

Unit cell a=15.160 b=6.413 c=6.010 alpha=90.00 beta=90.00 gamma=90.00
Fractional positions:
Na 0.000 0.172 0.000
Na 0.500 0.828 0.500
Al 0.123 0.670 0.440
Al 0.250 0.181 0.418
Al 0.250 0.819 0.918
Al 0.377 0.330 0.940
Al 0.623 0.330 0.940
Al 0.750 0.181 0.418
Al 0.750 0.819 0.918
Al 0.877 0.670 0.440
S 0.000 0.835 0.316
S 0.120 0.693 0.813
S 0.125 0.340 0.317
S 0.247 0.838 0.304
S 0.253 0.162 0.804
S 0.375 0.660 0.817
S 0.380 0.307 0.313
S 0.500 0.165 0.816
S 0.620 0.307 0.313
S 0.625 0.660 0.817
S 0.747 0.162 0.804
S 0.753 0.838 0.304
S 0.875 0.340 0.317
S 0.880 0.693 0.813

Output
**Raw formation energy**: -93.52 kJ/mol of atoms

# 9
Here is an optimized crystal structure of SrNiCl from Alexandria via LeMat-Bulk. Energies are from PBE.

Unit cell a=4.738 b=4.738 c=4.738 alpha=60.00 beta=60.00 gamma=60.00
Fractional positions:
Sr 0.000 0.000 0.000
Ni 0.750 0.750 0.750
Cl 0.500 0.500 0.500

Output
**Raw formation energy**: -19.78 kJ/mol of atoms

# 10
Here is an optimized crystal structure of ZrTaW from Alexandria via LeMat-Bulk. Energies are from PBE.

Unit cell a=7.529 b=7.317 c=2.906 alpha=82.83 beta=74.65 gamma=22.52
Fractional positions:
Zr 0.000 0.000 0.000
Ta 0.318 0.318 0.682
W 0.667 0.667 0.333

Output
**ΔE to the lowest computed polymorph**: 0.556 eV/f.u.

# 11
Here is an optimized crystal structure of BeNb2Cu from Alexandria via LeMat-Bulk. Energies are from PBE.

Unit cell a=2.764 b=2.764 c=7.516 alpha=90.00 beta=90.00 gamma=90.00
Fractional positions:
Be 0.000 0.000 0.000
Nb 0.500 0.500 0.233
Nb 0.500 0.500 0.767
Cu 0.000 0.000 0.500

# 12
Here is an optimized crystal structure of MnSi2As from Alexandria via LeMat-Bulk. Energies are from PBE.

Unit cell a=2.796 b=2.845 c=7.206 alpha=90.00 beta=90.00 gamma=90.00
Fractional positions:
Mn 0.000 0.000 0.000
Si 0.500 0.500 0.184
Si 0.500 0.500 0.816
As 0.500 0.000 0.500

Output
**Raw formation energy**: -1.53 kJ/mol of atoms

no.,uncorrected energy (Ry/atom),total magnetic moment (Bohr magnetons per cell)
1,-0.322,2.1
2,-0.711,13.8
3,-0.329,0.0
4,-0.361,0.4
5,-0.331,0.0
6,-0.150,0.6
7,-0.564,0.0
8,-0.348,2.1
9,-0.243,0.0
10,-0.809,0.0
11,-0.515,0.0
12,-0.454,0.0